Below is a relaxed structure of Sc2CoCu, with properties calculated at the GGA-PBEsol level.

The value obtained for the excess energy over the best structure of this formula in the dataset is 0.009 eV per atom. The value obtained for the formation energy is -292 meV/atom.

The space group is P4/mmm (No. 123) and the conventional cell measures 4.445, 4.445 and 3.132 Å, with angles of 90.00, 90.00 and 90.00 degrees. Symmetry generates all atoms from Sc at (0.000, 0.500, 0.000), Co at (0.000, 0.000, 0.500) and Cu at (0.500, 0.500, 0.500).